# Al2CdAg GGA-PBE relaxed
# DFT formation energy, eV per formula unit: 0.16
data_Al2CdAg
_symmetry_space_group_name_H-M 'P 1'
_symmetry_Int_Tables_number 1
_cell_length_a 2.971
_cell_length_b 4.053
_cell_length_c 6.098
_cell_angle_alpha 90.00
_cell_angle_beta 90.00
_cell_angle_gamma 90.00
loop_
_symmetry_equiv_pos_as_xyz
'x,y,z'
loop_
_atom_site_label
_atom_site_fract_x
_atom_site_fract_y
_atom_site_fract_z
_atom_site_occupancy
Al1 0.000 0.000 0.000 1
Al2 0.500 0.500 0.230 1
Ag1 0.500 0.500 0.773 1
Cd1 0.000 0.000 0.497 1